Compound: VHg2Pb
Source: Alexandria via LeMat-Bulk
Functional: PBE-GGA
Structure: relaxed

Calculated values
ΔH_f (0 K) (eV/atom): 0.598

a = 3.2556 Å, b = 3.2556 Å, c = 34.3638 Å
α = 90.00°, β = 90.00°, γ = 120.00°
Space group R-3m (No. 166, hexagonal axes)
Symmetry-distinct sites (fractional):
V  0.0000  0.0000  0.0000 [3 per cell]
Hg  0.0000  0.0000  0.0808 [6 per cell]
Pb  0.0000  0.0000  0.5000 [3 per cell]

Compound: Er4TlCo
Source: Alexandria via LeMat-Bulk
Functional: PBE-GGA
Structure: relaxed

Calculated values
ΔH_f (0 K) (eV/atom): -0.102

a = 7.402 Å, b = 6.866 Å, c = 6.678 Å
α = 90.00°, β = 92.08°, γ = 90.00°
Space group P2_1/c (No. 14)
Symmetry-distinct sites (fractional):
Er  0.129  0.160  0.177 [4 per cell]
Er  0.303  0.635  0.107 [4 per cell]
Tl  0.500  0.000  0.000 [2 per cell]
Co  0.000  0.000  0.500 [2 per cell]

Compound: PuCoNi11
Source: Alexandria via LeMat-Bulk
Functional: PBE-GGA
Structure: relaxed

Calculated values
ΔH_f (0 K) (eV/atom): -0.046

a = 4.703 Å, b = 11.618 Å, c = 6.237 Å
α = 90.00°, β = 111.99°, γ = 90.00°
Space group C2/m (No. 12)
Symmetry-distinct sites (fractional):
Pu  0.000  0.000  0.000 [2 per cell]
Co  0.000  0.000  0.500 [2 per cell]
Ni  0.000  0.500  0.500 [2 per cell]
Ni  0.112  0.389  0.221 [8 per cell]
Ni  0.176  0.176  0.355 [8 per cell]
Ni  0.250  0.250  0.000 [4 per cell]

Compound: NaNdLu
Source: Alexandria via LeMat-Bulk
Functional: PBE-GGA
Structure: relaxed

Calculated values
ΔH_f (0 K) (eV/atom): 0.166

a = 3.529 Å, b = 3.529 Å, c = 16.213 Å
α = 90.00°, β = 90.00°, γ = 90.00°
Space group I4mm (No. 107)
Symmetry-distinct sites (fractional):
Na  0.000  0.000  0.000 [2 per cell]
Nd  0.000  0.000  0.680 [2 per cell]
Lu  0.000  0.000  0.329 [2 per cell]

Compound: Nd4Tl5Sn2
Source: Alexandria via LeMat-Bulk
Functional: PBE-GGA
Structure: relaxed

Calculated values
ΔH_f (0 K) (eV/atom): -0.397

a = 8.299 Å, b = 4.085 Å, c = 9.724 Å
α = 90.00°, β = 91.68°, γ = 90.00°
Space group P2/m (No. 10)
Symmetry-distinct sites (fractional):
Nd  0.213  0.000  0.365 [2 per cell]
Nd  0.235  0.000  0.900 [2 per cell]
Tl  0.140  0.500  0.627 [2 per cell]
Tl  0.464  0.500  0.163 [2 per cell]
Tl  0.500  0.500  0.500 [1 per cell]
Sn  0.092  0.500  0.129 [2 per cell]

Compound: W4Se
Source: Alexandria via LeMat-Bulk
Functional: PBE-GGA
Structure: relaxed

Calculated values
Formation energy without anion corrections (meV/atom): 597

a = 6.113 Å, b = 6.113 Å, c = 4.403 Å
α = 90.00°, β = 90.00°, γ = 90.00°
Space group I4/m (No. 87)
Symmetry-distinct sites (fractional):
W  0.090  0.305  0.000 [8 per cell]
Se  0.000  0.000  0.500 [2 per cell]

Compound: ReAu3Se
Source: Alexandria via LeMat-Bulk
Functional: PBE-GGA
Structure: relaxed

Calculated values
Formation energy without anion corrections (meV/atom): 1512

a = 4.970 Å, b = 4.970 Å, c = 4.970 Å
α = 90.00°, β = 90.00°, γ = 90.00°
Space group Pm-3m (No. 221)
Symmetry-distinct sites (fractional):
Re  0.000  0.000  0.000 [1 per cell]
Au  0.000  0.500  0.500 [3 per cell]
Se  0.500  0.500  0.500 [1 per cell]

Compound: NiRh2
Source: Alexandria via LeMat-Bulk
Functional: PBE-GGA
Structure: relaxed

Calculated values
ΔH_f (0 K) (eV/atom): 0.056

a = 4.579 Å, b = 2.689 Å, c = 6.489 Å
α = 90.00°, β = 91.00°, γ = 90.00°
Space group P2/m (No. 10)
Symmetry-distinct sites (fractional):
Ni  0.166  0.000  0.333 [2 per cell]
Rh  0.000  0.500  0.000 [1 per cell]
Rh  0.329  0.500  0.660 [2 per cell]
Rh  0.500  0.000  0.000 [1 per cell]

Computed D(E_F) (states/eV per cell) in order:
13.342 13.365 56.922 8.606 4.854 8.915 3.598 10.391
Computed calculated volume (Å³/cell) in order:
315.4 339.2 316.0 201.9 329.5 164.5 122.8 79.9